Entry 1:
Density functional theory data (PBE) for a relaxed SmCdInAu crystal.

As for the formation energy: -0.493 eV/atom. The value obtained for the total magnetic moment is 0.000 μB/atom. The calculated total energy is -3.41 eV/atom.

It has space group F-43m (No. 216), with a = 7.1842 Å, b = 7.1842 Å, c = 7.1842 Å, α = 90.00°, β = 90.00° and γ = 90.00°. Symmetry generates all atoms from Sm at (0.0000, 0.0000, 0.0000), Cd at (0.2500, 0.2500, 0.7500), In at (0.0000, 0.0000, 0.5000) and Au at (0.2500, 0.2500, 0.2500).


Entry 2:
Density functional theory data (PBE) for a relaxed Cd2InSn2Au7 crystal.

As for the formation energy: -0.071 eV/atom. The value obtained for the total magnetic moment is 0.000 μB/atom. The calculated total energy is -3.03 eV/atom.

It has space group C2/m (No. 12), with a = 5.7144 Å, b = 5.6620 Å, c = 16.3657 Å, α = 90.00°, β = 96.44° and γ = 90.00°. Symmetry generates all atoms from Cd at (0.0767, 0.0000, 0.2705), In at (0.0000, 0.5000, 0.0000), Sn at (0.1339, 0.5000, 0.3902), Au at (0.0000, 0.0000, 0.0000), Au at (0.1686, 0.0000, 0.4413) and Au at (0.2106, 0.2504, 0.8560).


Entry 3:
Density functional theory data (PBE) for a relaxed Cd2In2SnAu7 crystal.

As for the formation energy: -0.064 eV/atom. The value obtained for the total magnetic moment is 0.000 μB/atom. The calculated total energy is -2.92 eV/atom.

It has space group C2/m (No. 12), with a = 5.7186 Å, b = 5.7371 Å, c = 16.6671 Å, α = 90.00°, β = 97.57° and γ = 90.00°. Symmetry generates all atoms from Cd at (0.0987, 0.0000, 0.4125), In at (0.1243, 0.5000, 0.2673), Sn at (0.0000, 0.0000, 0.0000), Au at (0.0000, 0.5000, 0.0000), Au at (0.1029, 0.5000, 0.4280) and Au at (0.1744, 0.2505, 0.8539).


Entry 4:
Density functional theory data (PBE) for a relaxed CdInSnAu crystal.

As for the formation energy: 0.036 eV/atom. The value obtained for the total magnetic moment is 0.000 μB/atom. The calculated total energy is -2.70 eV/atom.

It has space group F-43m (No. 216), with a = 7.2426 Å, b = 7.2426 Å, c = 7.2426 Å, α = 90.00°, β = 90.00° and γ = 90.00°. Symmetry generates all atoms from Cd at (0.0000, 0.0000, 0.0000), In at (0.2500, 0.2500, 0.2500), Sn at (0.2500, 0.2500, 0.7500) and Au at (0.0000, 0.0000, 0.5000).


Entry 5:
Density functional theory data (PBE) for a relaxed Sr2CdIn3Au4 crystal.

As for the formation energy: -0.510 eV/atom. The value obtained for the total magnetic moment is 0.000 μB/atom. The calculated total energy is -3.07 eV/atom.

It has space group P-4m2 (No. 115), with a = 4.6773 Å, b = 4.6773 Å, c = 11.7440 Å, α = 90.00°, β = 90.00° and γ = 90.00°. Symmetry generates all atoms from Sr at (0.0000, 0.5000, 0.2441), Cd at (0.0000, 0.0000, 0.5000), In at (0.0000, 0.5000, 0.8718), In at (0.5000, 0.5000, 0.5000), Au at (0.0000, 0.0000, 0.0000), Au at (0.0000, 0.5000, 0.6403) and Au at (0.5000, 0.5000, 0.0000).


Entry 6:
Density functional theory data (PBE) for a relaxed Sr3CdIn2Au6 crystal.

As for the formation energy: -0.477 eV/atom. The value obtained for the total magnetic moment is 0.000 μB/atom. The calculated total energy is -3.07 eV/atom.

It has space group P-3m1 (No. 164), with a = 6.3754 Å, b = 6.3754 Å, c = 8.9553 Å, α = 90.00°, β = 90.00° and γ = 120.00°. Symmetry generates all atoms from Sr at (0.0000, 0.0000, 0.0000), Sr at (0.3333, 0.6667, 0.6181), Cd at (0.0000, 0.0000, 0.5000), In at (0.3333, 0.6667, 0.0152) and Au at (0.1803, 0.3605, 0.2810).


Entry 7:
Density functional theory data (PBE) for a relaxed SrCd2InAu crystal.

As for the formation energy: -0.398 eV/atom. The value obtained for the total magnetic moment is 0.000 μB/atom. The calculated total energy is -2.30 eV/atom.

It has space group Imm2 (No. 44), with a = 4.4155 Å, b = 4.6791 Å, c = 12.8473 Å, α = 90.00°, β = 90.00° and γ = 90.00°. Symmetry generates all atoms from Sr at (0.0000, 0.0000, 0.0000), Cd at (0.0000, 0.0000, 0.6178), Cd at (0.0000, 0.5000, 0.2719), In at (0.0000, 0.5000, 0.7610) and Au at (0.0000, 0.0000, 0.4040).


Entry 8:
Density functional theory data (PBE) for a relaxed SrCd2In2Au2 crystal.

As for the formation energy: -0.334 eV/atom. The value obtained for the total magnetic moment is 0.000 μB/atom. The calculated total energy is -2.55 eV/atom.

It has space group R-3m (No. 166, hexagonal axes), with a = 4.8147 Å, b = 4.8147 Å, c = 26.6353 Å, α = 90.00°, β = 90.00° and γ = 120.00°. Symmetry generates all atoms from Sr at (0.0000, 0.0000, 0.0000), Cd at (0.0000, 0.0000, 0.1366), In at (0.0000, 0.0000, 0.2502) and Au at (0.0000, 0.0000, 0.4064).


Entry 9:
Density functional theory data (PBE) for a relaxed SrCdInAu2 crystal.

As for the formation energy: -0.525 eV/atom. The value obtained for the total magnetic moment is 0.000 μB/atom. The calculated total energy is -2.90 eV/atom.

It has space group I-4m2 (No. 119), with a = 4.4428 Å, b = 4.4428 Å, c = 12.8418 Å, α = 90.00°, β = 90.00° and γ = 90.00°. Symmetry generates all atoms from Sr at (0.0000, 0.0000, 0.0000), Cd at (0.0000, 0.5000, 0.7500), In at (0.0000, 0.5000, 0.2500) and Au at (0.0000, 0.0000, 0.3929).


Entry 10:
Density functional theory data (PBE) for a relaxed Sr2CdInAu6 crystal.

As for the formation energy: -0.202 eV/atom. The value obtained for the total magnetic moment is 0.000 μB/atom. The calculated total energy is -2.87 eV/atom.

It has space group Fm-3m (No. 225), with a = 10.4966 Å, b = 10.4966 Å, c = 10.4966 Å, α = 90.00°, β = 90.00° and γ = 90.00°. Symmetry generates all atoms from Sr at (0.2500, 0.2500, 0.2500), Cd at (0.0000, 0.0000, 0.0000), In at (0.0000, 0.0000, 0.5000) and Au at (0.0000, 0.0000, 0.2500).


Entry 11:
Density functional theory data (PBE) for a relaxed Sr2CdIn4Au3 crystal.

As for the formation energy: -0.479 eV/atom. The value obtained for the total magnetic moment is 0.000 μB/atom. The calculated total energy is -2.99 eV/atom.

It has space group P-4m2 (No. 115), with a = 4.6088 Å, b = 4.6088 Å, c = 12.2183 Å, α = 90.00°, β = 90.00° and γ = 90.00°. Symmetry generates all atoms from Sr at (0.0000, 0.5000, 0.2457), Cd at (0.0000, 0.0000, 0.5000), In at (0.0000, 0.0000, 0.0000), In at (0.0000, 0.5000, 0.6390), In at (0.5000, 0.5000, 0.0000), Au at (0.0000, 0.5000, 0.8618) and Au at (0.5000, 0.5000, 0.5000).


Entry 12:
Density functional theory data (PBE) for a relaxed Sr2Cd4InAu3 crystal.

As for the formation energy: -0.426 eV/atom. The value obtained for the total magnetic moment is 0.000 μB/atom. The calculated total energy is -2.39 eV/atom.

It has space group P-4m2 (No. 115), with a = 4.4429 Å, b = 4.4429 Å, c = 13.0329 Å, α = 90.00°, β = 90.00° and γ = 90.00°. Symmetry generates all atoms from Sr at (0.0000, 0.5000, 0.2372), Cd at (0.0000, 0.0000, 0.0000), Cd at (0.0000, 0.5000, 0.6446), Cd at (0.5000, 0.5000, 0.0000), In at (0.0000, 0.0000, 0.5000), Au at (0.0000, 0.5000, 0.8567) and Au at (0.5000, 0.5000, 0.5000).


Entry 13:
Density functional theory data (PBE) for a relaxed Sr3Cd2InAu6 crystal.

As for the formation energy: -0.475 eV/atom. The value obtained for the total magnetic moment is 0.000 μB/atom. The calculated total energy is -2.91 eV/atom.

It has space group P-3m1 (No. 164), with a = 6.3584 Å, b = 6.3584 Å, c = 8.9270 Å, α = 90.00°, β = 90.00° and γ = 120.00°. Symmetry generates all atoms from Sr at (0.0000, 0.0000, 0.0000), Sr at (0.3333, 0.6667, 0.6168), Cd at (0.3333, 0.6667, 0.0087), In at (0.0000, 0.0000, 0.5000) and Au at (0.1820, 0.3640, 0.2805).


Entry 14:
Density functional theory data (PBE) for a relaxed Tb4Cd2InAu crystal.

As for the formation energy: -0.485 eV/atom. The value obtained for the total magnetic moment is 0.000 μB/atom. The calculated total energy is -3.78 eV/atom.

It has space group R-3m (No. 166, hexagonal axes), with a = 5.2702 Å, b = 5.2702 Å, c = 25.7245 Å, α = 90.00°, β = 90.00° and γ = 120.00°. Symmetry generates all atoms from Tb at (0.0000, 0.0000, 0.1201), Tb at (0.0000, 0.0000, 0.3710), Cd at (0.0000, 0.0000, 0.2455), In at (0.0000, 0.0000, 0.5000) and Au at (0.0000, 0.0000, 0.0000).


Entry 15:
Density functional theory data (PBE) for a relaxed Tb4CdIn2Au crystal.

As for the formation energy: -0.518 eV/atom. The value obtained for the total magnetic moment is 0.000 μB/atom. The calculated total energy is -4.04 eV/atom.

It has space group R-3m (No. 166, hexagonal axes), with a = 5.2873 Å, b = 5.2873 Å, c = 25.8546 Å, α = 90.00°, β = 90.00° and γ = 120.00°. Symmetry generates all atoms from Tb at (0.0000, 0.0000, 0.1202), Tb at (0.0000, 0.0000, 0.3709), Cd at (0.0000, 0.0000, 0.5000), In at (0.0000, 0.0000, 0.2454) and Au at (0.0000, 0.0000, 0.0000).


Entry 16:
Density functional theory data (PBE) for a relaxed TbCdInAu crystal.

As for the formation energy: -0.480 eV/atom. The value obtained for the total magnetic moment is 0.000 μB/atom. The calculated total energy is -3.37 eV/atom.

It has space group F-43m (No. 216), with a = 7.1182 Å, b = 7.1182 Å, c = 7.1182 Å, α = 90.00°, β = 90.00° and γ = 90.00°. Symmetry generates all atoms from Tb at (0.0000, 0.0000, 0.0000), Cd at (0.2500, 0.2500, 0.7500), In at (0.0000, 0.0000, 0.5000) and Au at (0.2500, 0.2500, 0.2500).


Entry 17:
Density functional theory data (PBE) for a relaxed Tb2CdInAu4 crystal.

As for the formation energy: -0.691 eV/atom. The value obtained for the total magnetic moment is 0.000 μB/atom. The calculated total energy is -3.94 eV/atom.

It has space group R-3m (No. 166, hexagonal axes), with a = 4.9561 Å, b = 4.9561 Å, c = 24.2205 Å, α = 90.00°, β = 90.00° and γ = 120.00°. Symmetry generates all atoms from Tb at (0.0000, 0.0000, 0.2500), Cd at (0.0000, 0.0000, 0.0000), In at (0.0000, 0.0000, 0.5000), Au at (0.0000, 0.0000, 0.1246) and Au at (0.0000, 0.0000, 0.3750).


Entry 18:
Density functional theory data (PBE) for a relaxed ThCdInAu crystal.

As for the formation energy: -0.359 eV/atom. The value obtained for the total magnetic moment is 0.000 μB/atom. The calculated total energy is -3.95 eV/atom.

It has space group F-43m (No. 216), with a = 7.2787 Å, b = 7.2787 Å, c = 7.2787 Å, α = 90.00°, β = 90.00° and γ = 90.00°. Symmetry generates all atoms from Th at (0.0000, 0.0000, 0.0000), Cd at (0.2500, 0.2500, 0.7500), In at (0.0000, 0.0000, 0.5000) and Au at (0.2500, 0.2500, 0.2500).


Entry 19:
Density functional theory data (PBE) for a relaxed Tl2Cd6InAu crystal.

As for the formation energy: 0.066 eV/atom. The value obtained for the total magnetic moment is 0.000 μB/atom. The calculated total energy is -1.56 eV/atom.

It has space group Pmmn (No. 59, origin choice 2), with a = 5.9363 Å, b = 9.5575 Å, c = 10.0368 Å, α = 90.00°, β = 90.00° and γ = 90.00°. Symmetry generates all atoms from Tl at (0.2500, 0.0239, 0.2248), Cd at (0.0016, 0.7500, 0.0303), Cd at (0.0030, 0.7500, 0.4976), Cd at (0.2500, 0.5025, 0.5959), In at (0.2500, 0.7500, 0.7790) and Au at (0.2500, 0.2500, 0.7423).


Entry 20:
Density functional theory data (PBE) for a relaxed TlCd2InAu crystal.

As for the formation energy: 0.043 eV/atom. The value obtained for the total magnetic moment is 0.000 μB/atom. The calculated total energy is -2.00 eV/atom.

It has space group P4/mmm (No. 123), with a = 5.3085 Å, b = 5.3085 Å, c = 5.3969 Å, α = 90.00°, β = 90.00° and γ = 90.00°. Symmetry generates all atoms from Tl at (0.0000, 0.0000, 0.0000), Cd at (0.0000, 0.5000, 0.5000), In at (0.5000, 0.5000, 0.0000) and Au at (0.5000, 0.5000, 0.5000).


Entry 21:
Density functional theory data (PBE) for a relaxed TlCdInAu crystal.

As for the formation energy: 0.024 eV/atom. The value obtained for the total magnetic moment is 0.000 μB/atom. The calculated total energy is -2.30 eV/atom.

It has space group F-43m (No. 216), with a = 7.3263 Å, b = 7.3263 Å, c = 7.3263 Å, α = 90.00°, β = 90.00° and γ = 90.00°. Symmetry generates all atoms from Tl at (0.0000, 0.0000, 0.0000), Cd at (0.2500, 0.2500, 0.2500), In at (0.0000, 0.0000, 0.5000) and Au at (0.2500, 0.2500, 0.7500).


Entry 22:
Density functional theory data (PBE) for a relaxed Tm2CdInAu4 crystal.

As for the formation energy: -0.684 eV/atom. The value obtained for the total magnetic moment is 0.000 μB/atom. The calculated total energy is -3.90 eV/atom.

It has space group R-3m (No. 166, hexagonal axes), with a = 4.9053 Å, b = 4.9053 Å, c = 23.9729 Å, α = 90.00°, β = 90.00° and γ = 120.00°. Symmetry generates all atoms from Tm at (0.0000, 0.0000, 0.2501), Cd at (0.0000, 0.0000, 0.0000), In at (0.0000, 0.0000, 0.5000), Au at (0.0000, 0.0000, 0.1245) and Au at (0.0000, 0.0000, 0.3748).


Entry 23:
Density functional theory data (PBE) for a relaxed TmCdInAu crystal.

As for the formation energy: -0.318 eV/atom. The value obtained for the total magnetic moment is 0.000 μB/atom. As for the offset from the most stable computed form: 0.1230 eV/atom. The calculated total energy is -3.17 eV/atom.

It has space group P4/nmm (No. 129, origin choice 2), with a = 4.0098 Å, b = 4.0098 Å, c = 11.9567 Å, α = 90.00°, β = 90.00° and γ = 90.00°. Symmetry generates all atoms from Tm at (0.2500, 0.2500, 0.1718), Cd at (0.2500, 0.7500, 0.5000), In at (0.2500, 0.2500, 0.6887) and Au at (0.2500, 0.2500, 0.9312).


Entry 24:
Density functional theory data (PBE) for a relaxed TmCdInAu crystal.

As for the formation energy: -0.441 eV/atom. The value obtained for the total magnetic moment is 0.000 μB/atom. As for the offset from the most stable computed form: 0.0000 eV/atom. The calculated total energy is -3.29 eV/atom.

It has space group F-43m (No. 216), with a = 7.0603 Å, b = 7.0603 Å, c = 7.0603 Å, α = 90.00°, β = 90.00° and γ = 90.00°. Symmetry generates all atoms from Tm at (0.0000, 0.0000, 0.0000), Cd at (0.2500, 0.2500, 0.7500), In at (0.0000, 0.0000, 0.5000) and Au at (0.2500, 0.2500, 0.2500).